Entry 1:
Material: Y2ReHI
Method: DFT, PBE
State: relaxed

Its raw total energy is -5.302 eV per atom. The value obtained for the total magnetic moment is 0.119 μB per atom. The density of states at the Fermi level is 4.15 states/eV per cell.

abc: 5.410 5.410 5.282
angles: 90.00 90.00 90.00
Sites, in units of the cell vectors:
1 Y 0.000 0.500 0.000
2 Y 0.500 0.000 0.000
3 Re 0.000 0.000 0.000
4 H 0.500 0.500 0.500
5 I 0.000 0.000 0.500



Entry 2:
Material: HRh2I
Method: DFT, PBE
State: relaxed

The polymorph energy (0 for the lowest one) is 507.7 meV/atom. The value obtained for the total magnetic moment is 0.000 μB per atom. The density of states at the Fermi level is 5.75 states/eV per cell.

abc: 4.367 4.367 4.367
angles: 60.00 60.00 60.00
Sites, in units of the cell vectors:
1 H 0.000 0.000 0.000
2 Rh 0.250 0.250 0.250
3 Rh 0.750 0.750 0.750
4 I 0.500 0.500 0.500



Entry 3:
Material: HRh2I
Method: DFT, PBE
State: relaxed

The polymorph energy (0 for the lowest one) is 0.0 meV/atom. The value obtained for the total magnetic moment is 0.000 μB per atom. The density of states at the Fermi level is 5.75 states/eV per cell.

abc: 6.094 6.094 6.094
angles: 131.33 131.33 71.29
Sites, in units of the cell vectors:
1 H 0.000 0.000 0.000
2 H 0.750 0.250 0.500
3 Rh 0.375 0.246 0.371
4 Rh 0.754 0.125 0.129
5 Rh 0.875 0.004 0.629
6 Rh 0.996 0.625 0.871
7 I 0.250 0.750 0.500
8 I 0.500 0.500 0.000



Entry 4:
Material: HRhSI2
Method: DFT, PBE
State: relaxed

Its raw total energy is -2.744 eV per atom. The value obtained for the total magnetic moment is 0.193 μB per atom. The density of states at the Fermi level is 2.17 states/eV per cell.

abc: 5.735 5.735 4.340
angles: 90.00 90.00 90.00
Sites, in units of the cell vectors:
1 H 0.000 0.000 0.000
2 Rh 0.500 0.500 0.000
3 S 0.500 0.500 0.500
4 I 0.000 0.500 0.500
5 I 0.500 0.000 0.500



Entry 5:
Material: SbHRhI2
Method: DFT, PBE
State: relaxed

The polymorph energy (0 for the lowest one) is 167.3 meV/atom. The value obtained for the total magnetic moment is 0.117 μB per atom. The density of states at the Fermi level is 4.01 states/eV per cell.

abc: 5.368 5.368 3.836
angles: 90.00 90.00 90.00
Sites, in units of the cell vectors:
1 Sb 0.000 0.000 0.000
2 H 0.000 0.000 0.500
3 Rh 0.500 0.500 0.000
4 I 0.000 0.500 0.500
5 I 0.500 0.000 0.500



Entry 6:
Material: SbHRhI2
Method: DFT, PBE
State: relaxed

The polymorph energy (0 for the lowest one) is 0.0 meV/atom. The value obtained for the total magnetic moment is 0.178 μB per atom. The density of states at the Fermi level is 3.92 states/eV per cell.

abc: 5.668 5.668 4.937
angles: 90.00 90.00 90.00
Sites, in units of the cell vectors:
1 Sb 0.000 0.000 0.000
2 H 0.500 0.500 0.000
3 Rh 0.000 0.000 0.500
4 I 0.000 0.500 0.500
5 I 0.500 0.000 0.500